No. 1
Below is a geometry-optimized Ta2AgGe structure, with properties calculated at the PBE-GGA level.

Raw total energy = -0.269 Ha/atom
Calculated volume = 74 Å³/f.u.
E_form = 463.5 meV per atom

abc: 5.8601 5.8601 5.8601
angles: 103.33 103.33 122.60
Positions (direct):
1 Ta 0.1102 0.6250 0.9852
2 Ta 0.3750 0.3602 0.4852
3 Ta 0.6398 0.1250 0.0148
4 Ta 0.8750 0.8898 0.5148
5 Ag 0.2500 0.7500 0.5000
6 Ag 0.5000 0.5000 0.0000
7 Ge 0.0000 0.0000 0.0000
8 Ge 0.7500 0.2500 0.5000

---

No. 2
Below is a geometry-optimized LiPrAlHg structure, with properties calculated at the PBE-GGA level.

Raw total energy = -0.110 Ha/atom
Calculated volume = 94 Å³/f.u.
E_form = -315.9 meV per atom

abc: 5.0997 5.0997 5.0997
angles: 60.00 60.00 60.00
Positions (direct):
1 Li 0.0000 0.0000 0.0000
2 Pr 0.5000 0.5000 0.5000
3 Al 0.7500 0.7500 0.7500
4 Hg 0.2500 0.2500 0.2500

---

No. 3
Below is a geometry-optimized Cu2SbOs structure, with properties calculated at the PBE-GGA level.

Formation energy from raw total energies = 533.8 meV per atom
Raw total energy = -0.197 Ha/atom
Calculated volume = 64 Å³/f.u.

abc: 3.0036 4.5522 4.6925
angles: 90.00 95.48 90.00
Positions (direct):
1 Cu 0.1689 0.0000 0.2791
2 Cu 0.8311 0.0000 0.7209
3 Sb 0.0000 0.5000 0.0000
4 Os 0.5000 0.5000 0.5000

---

No. 4
Below is a geometry-optimized CdC3Se structure, with properties calculated at the PBE-GGA level.

Formation energy from raw total energies = 2780.8 meV per atom
Raw total energy = -0.134 Ha/atom
Calculated volume = 65 Å³/f.u.
Energy above the lowest structure with this stoichiometry = 0 meV/atom

abc: 4.0168 4.0168 4.0168
angles: 90.00 90.00 90.00
Positions (direct):
1 Cd 0.0000 0.0000 0.0000
2 C 0.0000 0.5000 0.5000
3 C 0.5000 0.0000 0.5000
4 C 0.5000 0.5000 0.0000
5 Se 0.5000 0.5000 0.5000

---

No. 5
Below is a geometry-optimized NiRhS3 structure, with properties calculated at the PBE-GGA level.

Formation energy from raw total energies = -201.2 meV per atom
Raw total energy = -0.195 Ha/atom
Calculated volume = 87 Å³/f.u.
Energy above the lowest structure with this stoichiometry = 15 meV/atom

abc: 7.6449 7.6449 6.1009
angles: 97.22 97.22 83.93
Positions (direct):
1 Ni 0.1442 0.3237 0.0690
2 Ni 0.3237 0.1442 0.5690
3 Ni 0.6763 0.8558 0.4310
4 Ni 0.8558 0.6763 0.9310
5 Rh 0.2326 0.7674 0.2500
6 Rh 0.4107 0.5893 0.7500
7 Rh 0.5893 0.4107 0.2500
8 Rh 0.7674 0.2326 0.7500
9 S 0.0759 0.2216 0.7137
10 S 0.1460 0.5875 0.9102
11 S 0.2216 0.0759 0.2137
12 S 0.3010 0.4811 0.3674
13 S 0.4125 0.8540 0.5898
14 S 0.4811 0.3010 0.8674
15 S 0.5189 0.6990 0.1326
16 S 0.5875 0.1460 0.4102
17 S 0.6990 0.5189 0.6326
18 S 0.7784 0.9241 0.7863
19 S 0.8540 0.4125 0.0898
20 S 0.9241 0.7784 0.2863

---

No. 6
Below is a geometry-optimized Ba3NdDy3Te8 structure, with properties calculated at the PBE-GGA level.

Formation energy from raw total energies = -1539.1 meV per atom
Raw total energy = -0.178 Ha/atom
Calculated volume = 563 Å³/f.u.

abc: 9.5211 9.5211 9.5211
angles: 56.62 56.62 56.62
Positions (direct):
1 Ba 0.0000 0.5000 0.5000
2 Ba 0.5000 0.0000 0.5000
3 Ba 0.5000 0.5000 0.0000
4 Nd 0.5000 0.5000 0.5000
5 Dy 0.0000 0.0000 0.5000
6 Dy 0.0000 0.5000 0.0000
7 Dy 0.5000 0.0000 0.0000
8 Te 0.2280 0.7462 0.7462
9 Te 0.2386 0.2386 0.2386
10 Te 0.2538 0.2538 0.7720
11 Te 0.2538 0.7720 0.2538
12 Te 0.7462 0.2280 0.7462
13 Te 0.7462 0.7462 0.2280
14 Te 0.7614 0.7614 0.7614
15 Te 0.7720 0.2538 0.2538

---

No. 7
Below is a geometry-optimized Ca2InAs structure, with properties calculated at the PBE-GGA level.

Raw total energy = -0.126 Ha/atom
Calculated volume = 107 Å³/f.u.
Energy above the lowest structure with this stoichiometry = 144 meV/atom
E_form = -577.3 meV per atom

abc: 5.3236 5.3236 5.3236
angles: 60.00 60.00 60.00
Positions (direct):
1 Ca 0.2500 0.2500 0.2500
2 Ca 0.7500 0.7500 0.7500
3 In 0.0000 0.0000 0.0000
4 As 0.5000 0.5000 0.5000

---

No. 8
Below is a geometry-optimized Dy2Er5Tm2 structure, with properties calculated at the PBE-GGA level.

Raw total energy = -0.161 Ha/atom
Calculated volume = 279 Å³/f.u.
Energy above the lowest structure with this stoichiometry = 46 meV/atom
E_form = 177.3 meV per atom

abc: 6.5570 8.6830 11.4579
angles: 97.19 106.61 112.13
Positions (direct):
1 Dy 0.0000 0.0000 0.0000
2 Dy 0.0084 0.4999 0.5165
3 Dy 0.9266 0.7503 0.2575
4 Dy 0.9737 0.2495 0.7587
5 Er 0.0787 0.6789 0.8268
6 Er 0.0968 0.9025 0.6186
7 Er 0.1420 0.2369 0.2801
8 Er 0.3898 0.4188 0.0675
9 Er 0.4400 0.0334 0.4470
10 Er 0.5816 0.8198 0.6903
11 Er 0.5841 0.5972 0.8989
12 Er 0.6324 0.2615 0.2370
13 Er 0.9116 0.0807 0.4497
14 Er 0.9668 0.4643 0.0698
15 Tm 0.4689 0.8522 0.1332
16 Tm 0.4939 0.6461 0.3837
17 Tm 0.4994 0.3795 0.6215
18 Tm 0.5059 0.1191 0.8958

---

No. 9
Below is a geometry-optimized Tl2CoW structure, with properties calculated at the PBE-GGA level.

Raw total energy = -0.190 Ha/atom
Calculated volume = 74 Å³/f.u.
Energy above the lowest structure with this stoichiometry = 506 meV/atom
E_form = 1028.9 meV per atom

abc: 5.0748 5.0748 2.9905
angles: 90.00 90.00 106.28
Positions (direct):
1 Tl 0.0000 0.5000 0.0000
2 Tl 0.5000 0.0000 0.0000
3 Co 0.0000 0.0000 0.5000
4 W 0.5000 0.5000 0.5000

---

No. 10
Below is a geometry-optimized K2TlNiCl6 structure, with properties calculated at the PBE-GGA level.

Formation energy from raw total energies = -1172.8 meV per atom
Raw total energy = -0.122 Ha/atom
Calculated volume = 280 Å³/f.u.

abc: 7.1984 10.3525 7.5013
angles: 90.00 90.00 90.00
Positions (direct):
1 K 0.2500 0.0186 0.2181
2 K 0.2500 0.4814 0.2181
3 K 0.7500 0.5187 0.7819
4 K 0.7500 0.9814 0.7819
5 Tl 0.2500 0.2500 0.7261
6 Tl 0.7500 0.7500 0.2739
7 Ni 0.2500 0.7500 0.7685
8 Ni 0.7500 0.2500 0.2315
9 Cl 0.0176 0.7500 0.5498
10 Cl 0.0213 0.7500 0.9917
11 Cl 0.2500 0.5229 0.7693
12 Cl 0.2500 0.9771 0.7693
13 Cl 0.4787 0.7500 0.9917
14 Cl 0.4824 0.7500 0.5498
15 Cl 0.5176 0.2500 0.4502
16 Cl 0.5213 0.2500 0.0083
17 Cl 0.7500 0.0229 0.2307
18 Cl 0.7500 0.4771 0.2307
19 Cl 0.9787 0.2500 0.0083
20 Cl 0.9824 0.2500 0.4502

---

No. 11
Below is a geometry-optimized TbNd3Tm2S6 structure, with properties calculated at the PBE-GGA level.

Formation energy from raw total energies = -2001.5 meV per atom
Raw total energy = -0.235 Ha/atom
Calculated volume = 266 Å³/f.u.

abc: 6.8197 6.8197 6.9882
angles: 99.35 99.35 120.15
Positions (direct):
1 Tb 0.0000 0.0000 0.0000
2 Nd 0.1643 0.8357 0.5000
3 Nd 0.5000 0.5000 0.5000
4 Nd 0.8357 0.1643 0.5000
5 Tm 0.3335 0.6665 0.0000
6 Tm 0.6665 0.3335 0.0000
7 S 0.0770 0.4154 0.2313
8 S 0.2621 0.2621 0.7706
9 S 0.4154 0.0770 0.2313
10 S 0.5846 0.9230 0.7687
11 S 0.7379 0.7379 0.2294
12 S 0.9230 0.5846 0.7687

---

No. 12
Below is a geometry-optimized Er2Tm6Zr structure, with properties calculated at the PBE-GGA level.

Raw total energy = -0.177 Ha/atom
Calculated volume = 265 Å³/f.u.
E_form = 122.5 meV per atom

abc: 9.8731 9.8731 5.8058
angles: 96.58 96.58 71.02
Positions (direct):
1 Er 0.0728 0.2732 0.0721
2 Er 0.2732 0.0728 0.5721
3 Er 0.7268 0.9272 0.4279
4 Er 0.9272 0.7268 0.9279
5 Tm 0.0828 0.8120 0.4800
6 Tm 0.1484 0.4407 0.6476
7 Tm 0.1880 0.9172 0.0200
8 Tm 0.2867 0.5047 0.1919
9 Tm 0.4407 0.1484 0.1476
10 Tm 0.4953 0.7133 0.3081
11 Tm 0.5047 0.2867 0.6919
12 Tm 0.5593 0.8516 0.8524
13 Tm 0.7133 0.4953 0.8081
14 Tm 0.8120 0.0828 0.9800
15 Tm 0.8516 0.5593 0.3524
16 Tm 0.9172 0.1880 0.5200
17 Zr 0.3691 0.6309 0.7500
18 Zr 0.6309 0.3691 0.2500

---

No. 13
Below is a geometry-optimized AlFeRh structure, with properties calculated at the PBE-GGA level.

Raw total energy = -0.257 Ha/atom
Calculated volume = 40 Å³/f.u.
Energy above the lowest structure with this stoichiometry = 0 meV/atom
E_form = -465.8 meV per atom

abc: 5.1130 5.1130 5.1130
angles: 146.97 146.97 47.40
Positions (direct):
1 Al 0.0000 0.0000 0.0000
2 Fe 0.6641 0.6641 0.0000
3 Rh 0.3368 0.3368 0.0000

---

No. 14
Below is a geometry-optimized Y5Hg structure, with properties calculated at the PBE-GGA level.

Raw total energy = -0.191 Ha/atom
Calculated volume = 188 Å³/f.u.
Energy above the lowest structure with this stoichiometry = 402 meV/atom
E_form = 251.6 meV per atom

abc: 6.4279 6.4279 6.4279
angles: 60.00 60.00 60.00
Positions (direct):
1 Y 0.0000 0.0000 0.0000
2 Y 0.1236 0.6255 0.6255
3 Y 0.6255 0.1236 0.6255
4 Y 0.6255 0.6255 0.1236
5 Y 0.6255 0.6255 0.6255
6 Hg 0.2500 0.2500 0.2500

---

No. 15
Below is a geometry-optimized ZnPb4 structure, with properties calculated at the PBE-GGA level.

Raw total energy = -0.108 Ha/atom
Calculated volume = 161 Å³/f.u.
Energy above the lowest structure with this stoichiometry = 174 meV/atom
E_form = 269.2 meV per atom

abc: 5.4347 5.4347 5.4347
angles: 90.00 90.00 90.00
Positions (direct):
1 Zn 0.0000 0.0000 0.0000
2 Pb 0.0000 0.0000 0.5000
3 Pb 0.0000 0.5000 0.0000
4 Pb 0.5000 0.0000 0.0000
5 Pb 0.5000 0.5000 0.5000

---

No. 16
Below is a geometry-optimized LiPmY2Pd4 structure, with properties calculated at the PBE-GGA level.

Raw total energy = -0.213 Ha/atom
Calculated volume = 166 Å³/f.u.
E_form = -744.3 meV per atom

abc: 8.4389 8.4389 8.4389
angles: 33.83 33.83 33.83
Positions (direct):
1 Li 0.0000 0.0000 0.0000
2 Pm 0.5000 0.5000 0.5000
3 Y 0.2589 0.2589 0.2589
4 Y 0.7411 0.7411 0.7411
5 Pd 0.1216 0.1216 0.1216
6 Pd 0.3785 0.3785 0.3785
7 Pd 0.6215 0.6215 0.6215
8 Pd 0.8784 0.8784 0.8784